Record 1
# PBE-GGA Na2LiTa, relaxed
data_Na2LiTa
_chemical_formula_sum 'Na8 Li4 Ta4'
_space_group_name_H-M_alt 'I -4 2 d'
_space_group_IT_number 122
_space_group_name_Hall 'I -4 2bw'
_cell_length_a 8.193
_cell_length_b 8.193
_cell_length_c 5.965
_cell_angle_alpha 90.00
_cell_angle_beta 90.00
_cell_angle_gamma 90.00
loop_
_atom_site_label
_atom_site_type_symbol
_atom_site_fract_x
_atom_site_fract_y
_atom_site_fract_z
_atom_site_occupancy
Na1 Na 0.214 0.750 0.125 1
Li1 Li 0.000 0.000 0.000 1
Ta1 Ta 0.000 0.000 0.500 1
# **Final energy**: -0.10335 Ha/atom



Record 2
# PBE-GGA Co3P, relaxed
data_Co3P
_chemical_formula_sum 'Co6 P2'
_space_group_name_H-M_alt 'C m m m'
_space_group_IT_number 65
_space_group_name_Hall '-C 2 2'
_cell_length_a 4.823
_cell_length_b 6.631
_cell_length_c 2.611
_cell_angle_alpha 90.00
_cell_angle_beta 90.00
_cell_angle_gamma 90.00
loop_
_atom_site_label
_atom_site_type_symbol
_atom_site_fract_x
_atom_site_fract_y
_atom_site_fract_z
_atom_site_occupancy
Co1 Co 0.000 0.000 0.000 1
Co2 Co 0.250 0.250 0.500 1
P1 P 0.000 0.500 0.000 1
# **Final energy**: -0.24812 Ha/atom



Record 3
# PBE-GGA RbCu2TcCl8, relaxed
data_RbCu2TcCl8
_chemical_formula_sum 'Rb2 Cu4 Tc2 Cl16'
_space_group_name_H-M_alt 'C 1 2/m 1'
_space_group_IT_number 12
_space_group_name_Hall '-C 2y'
_cell_length_a 10.034
_cell_length_b 6.930
_cell_length_c 9.700
_cell_angle_alpha 90.00
_cell_angle_beta 94.08
_cell_angle_gamma 90.00
loop_
_atom_site_label
_atom_site_type_symbol
_atom_site_fract_x
_atom_site_fract_y
_atom_site_fract_z
_atom_site_occupancy
Rb1 Rb 0.000 0.000 0.000 1
Cu1 Cu 0.146 0.500 0.299 1
Tc1 Tc 0.000 0.000 0.500 1
Cl1 Cl 0.012 0.239 0.676 1
Cl2 Cl 0.176 0.500 0.081 1
Cl3 Cl 0.237 0.000 0.495 1
# **Formation energy (no corrections)**: -0.815 eV per atom



Record 4
# PBE-GGA InHg2S, relaxed
data_InHg2S
_chemical_formula_sum 'In3 Hg6 S3'
_space_group_name_H-M_alt 'R -3 m'
_space_group_IT_number 166
_space_group_name_Hall '-R 3 2"'
_cell_length_a 3.7914
_cell_length_b 3.7914
_cell_length_c 26.4576
_cell_angle_alpha 90.00
_cell_angle_beta 90.00
_cell_angle_gamma 120.00
loop_
_atom_site_label
_atom_site_type_symbol
_atom_site_fract_x
_atom_site_fract_y
_atom_site_fract_z
_atom_site_occupancy
In1 In 0.0000 0.0000 0.0000 1
Hg1 Hg 0.0000 0.0000 0.1033 1
S1 S 0.0000 0.0000 0.5000 1
# **Formation energy (no corrections)**: 0.103 eV per atom



Record 5
# PBE-GGA Ac4SeSN2, relaxed
data_Ac4SeSN2
_chemical_formula_sum 'Ac4 Se1 S1 N2'
_space_group_name_H-M_alt 'P 1 2/m 1'
_space_group_IT_number 10
_space_group_name_Hall '-P 2y'
_cell_length_a 7.019
_cell_length_b 4.065
_cell_length_c 7.458
_cell_angle_alpha 90.00
_cell_angle_beta 108.31
_cell_angle_gamma 90.00
loop_
_atom_site_label
_atom_site_type_symbol
_atom_site_fract_x
_atom_site_fract_y
_atom_site_fract_z
_atom_site_occupancy
Ac1 Ac 0.234 0.000 0.208 1
Ac2 Ac 0.258 0.500 0.788 1
Se1 Se 0.500 0.500 0.500 1
S1 S 0.000 0.000 0.500 1
N1 N 0.000 0.500 0.000 1
N2 N 0.500 0.000 0.000 1
# **Formation energy (no corrections)**: -1.515 eV per atom



Record 6
# PBE-GGA LiMg2Ag2, relaxed
data_LiMg2Ag2
_chemical_formula_sum 'Li4 Mg8 Ag8'
_space_group_name_H-M_alt 'C 1 2/c 1'
_space_group_IT_number 15
_space_group_name_Hall '-C 2yc'
_cell_length_a 10.202
_cell_length_b 5.252
_cell_length_c 7.313
_cell_angle_alpha 90.00
_cell_angle_beta 111.28
_cell_angle_gamma 90.00
loop_
_atom_site_label
_atom_site_type_symbol
_atom_site_fract_x
_atom_site_fract_y
_atom_site_fract_z
_atom_site_occupancy
Li1 Li 0.000 0.202 0.250 1
Mg1 Mg 0.181 0.146 0.646 1
Ag1 Ag 0.105 0.347 0.958 1
# **Final energy**: -0.08642 Ha/atom



no.,density of states at the Fermi level (states/eV/cell)
1,19.1
2,10.3
3,17.6
4,3.9
5,3.4
6,4.7